A relaxed Sr3Mo5O12 crystal. Source: Alexandria via LeMat-Bulk, functional PBE+U.

## Properties
As for the crystal system: cubic. As for the total energy: -561.1 eV per cell. As for the space-group type: Ia-3d.

a b c (Å): 11.631 11.631 11.631
angles (deg): 109.47 109.47 109.47
Site moments in Bohr magnetons follow the coordinates.
Fractional positions:
Mo 0.750 0.125 0.875  1.87
Mo 0.500 0.500 0.000  2.75
Mo 0.500 0.500 0.500  2.75
Mo 0.000 0.000 0.500  2.75
Mo 0.375 0.250 0.125  1.87
Mo 0.250 0.875 0.125  1.87
Mo 0.375 0.125 0.750  1.87
Mo 0.500 0.000 0.500  2.75
Mo 0.000 0.500 0.000  2.75
Mo 0.875 0.250 0.625  1.87
Mo 0.625 0.875 0.250  1.87
Mo 0.625 0.750 0.875  1.87
Mo 0.000 0.500 0.500  2.75
Mo 0.000 0.000 0.000  2.75
Mo 0.875 0.625 0.750  1.87
Mo 0.750 0.625 0.375  1.87
Mo 0.250 0.375 0.625  1.87
Mo 0.500 0.000 0.000  2.75
Mo 0.125 0.750 0.375  1.87
Mo 0.125 0.375 0.250  1.87
O 0.600 0.620 0.418  0.03
O 0.082 0.181 0.202  0.03
O 0.020 0.400 0.819  0.03
O 0.020 0.620 0.702  0.03
O 0.418 0.120 0.600  0.03
O 0.120 0.702 0.520  0.03
O 0.900 0.082 0.880  0.03
O 0.582 0.880 0.400  0.03
O 0.520 0.202 0.120  0.03
O 0.681 0.202 0.582  0.03
O 0.600 0.980 0.681  0.03
O 0.380 0.980 0.798  0.03
O 0.202 0.520 0.620  0.03
O 0.082 0.900 0.380  0.03
O 0.480 0.798 0.880  0.03
O 0.702 0.120 0.020  0.03
O 0.100 0.181 0.480  0.03
O 0.620 0.020 0.202  0.03
O 0.400 0.380 0.582  0.03
O 0.181 0.100 0.980  0.03
O 0.798 0.319 0.918  0.03
O 0.400 0.020 0.319  0.03
O 0.298 0.418 0.819  0.03
O 0.480 0.681 0.100  0.03
O 0.880 0.298 0.480  0.03
O 0.620 0.600 0.918  0.03
O 0.918 0.100 0.620  0.03
O 0.202 0.681 0.082  0.03
O 0.918 0.819 0.798  0.03
O 0.980 0.380 0.298  0.03
O 0.980 0.600 0.181  0.03
O 0.520 0.319 0.900  0.03
O 0.319 0.520 0.400  0.03
O 0.120 0.418 0.100  0.03
O 0.100 0.918 0.120  0.03
O 0.798 0.480 0.380  0.03
O 0.319 0.798 0.418  0.03
O 0.819 0.900 0.020  0.03
O 0.681 0.480 0.600  0.03
O 0.582 0.702 0.681  0.03
O 0.900 0.819 0.520  0.03
O 0.298 0.880 0.980  0.03
O 0.418 0.298 0.319  0.03
O 0.702 0.582 0.181  0.03
O 0.380 0.400 0.082  0.03
O 0.819 0.918 0.298  0.03
O 0.181 0.082 0.702  0.03
O 0.880 0.582 0.900  0.03
Sr 0.875 0.125 0.250  0.00
Sr 0.750 0.375 0.125  0.00
Sr 0.625 0.375 0.750  0.00
Sr 0.875 0.750 0.125  0.00
Sr 0.750 0.875 0.625  0.00
Sr 0.375 0.750 0.625  0.00
Sr 0.625 0.250 0.375  0.00
Sr 0.125 0.875 0.750  0.00
Sr 0.375 0.625 0.250  0.00
Sr 0.250 0.125 0.375  0.00
Sr 0.250 0.625 0.875  0.00
Sr 0.125 0.250 0.875  0.00